1 | Here is crystalline TaBeBr2 at its relaxed geometry from the Alexandria database. Energies are from GGA-PBE.

Cell lengths 6.443, 6.443, 6.443 Å; angles 126.92, 126.92, 78.39 degrees
Fractional positions:
Ta  0.000  0.000  0.000
Ta  0.750  0.250  0.500
Be  0.250  0.750  0.500
Be  0.500  0.500  0.000
Br  0.187  0.625  0.062
Br  0.375  0.437  0.562
Br  0.563  0.125  0.938
Br  0.875  0.813  0.438

**Density of states at the Fermi level**: 0.25 states/eV/atom

2 | Here is crystalline TaBeBr2 at its relaxed geometry from the Alexandria database. Energies are from GGA-PBE.

Cell lengths 4.769, 4.769, 3.126 Å; angles 90.00, 90.00, 90.00 degrees
Fractional positions:
Ta  0.000  0.000  0.000
Be  0.500  0.500  0.000
Br  0.000  0.500  0.500
Br  0.500  0.000  0.500

**Density of states at the Fermi level**: 1.02 states/eV/atom

3 | Here is crystalline TaBeBr2 at its relaxed geometry from the Alexandria database. Energies are from GGA-PBE.

Cell lengths 3.121, 4.385, 5.575 Å; angles 90.00, 90.00, 90.00 degrees
Fractional positions:
Ta  0.000  0.000  0.000
Be  0.500  0.000  0.500
Br  0.000  0.500  0.500
Br  0.500  0.500  0.000

**Density of states at the Fermi level**: 0.62 states/eV/atom

It is 3 that is most stable; the runner-up trails by 141 meV/atom.

1 | Here is crystalline TaBeBr2 at its relaxed geometry from the Alexandria database. Energies are from GGA-PBE.

Cell lengths 3.135, 3.135, 9.306 Å; angles 90.00, 90.00, 90.00 degrees
Fractional positions:
Ta  0.000  0.000  0.000
Be  0.000  0.000  0.500
Br  0.500  0.500  0.179
Br  0.500  0.500  0.821

**Density of states at the Fermi level**: 0.65 states/eV/atom

2 | Here is crystalline TaBeBr2 at its relaxed geometry from the Alexandria database. Energies are from GGA-PBE.

Cell lengths 3.371, 3.371, 9.943 Å; angles 90.00, 90.00, 123.44 degrees
Fractional positions:
Ta  0.000  0.000  0.000
Be  0.500  0.500  0.791
Br  0.000  0.000  0.643
Br  0.500  0.500  0.208

**Density of states at the Fermi level**: 0.34 states/eV/atom

It is 2 that is most stable; the runner-up trails by 635 meV/atom.

1 | Here is crystalline TaBeBr2 at its relaxed geometry from the Alexandria database. Energies are from GGA-PBE.

Cell lengths 10.269, 10.269, 10.269 Å; angles 18.01, 18.01, 18.01 degrees
Fractional positions:
Ta  0.000  0.000  0.000
Be  0.500  0.500  0.500
Br  0.270  0.270  0.270
Br  0.730  0.730  0.730

**Density of states at the Fermi level**: 0.16 states/eV/atom

2 | Here is crystalline TaBeBr2 at its relaxed geometry from the Alexandria database. Energies are from GGA-PBE.

Cell lengths 4.906, 4.906, 3.145 Å; angles 90.00, 90.00, 103.68 degrees
Fractional positions:
Ta  0.000  0.000  0.000
Be  0.500  0.500  0.000
Br  0.000  0.500  0.500
Br  0.500  0.000  0.500

**Density of states at the Fermi level**: 0.81 states/eV/atom

3 | Here is crystalline TaBeBr2 at its relaxed geometry from the Alexandria database. Energies are from GGA-PBE.

Cell lengths 3.201, 4.491, 5.454 Å; angles 90.00, 94.90, 90.00 degrees
Fractional positions:
Ta  0.000  0.000  0.000
Be  0.500  0.000  0.500
Br  0.198  0.500  0.250
Br  0.802  0.500  0.750

**Density of states at the Fermi level**: 0.54 states/eV/atom

It is 1 that is most stable; the runner-up trails by 216 meV/atom.

1 | Here is crystalline TaBeBr2 at its relaxed geometry from the Alexandria database. Energies are from GGA-PBE.

Cell lengths 6.148, 6.148, 6.148 Å; angles 144.60, 144.60, 50.93 degrees
Fractional positions:
Ta  0.000  0.000  0.000
Be  0.250  0.750  0.500
Br  0.500  0.500  0.000
Br  0.750  0.250  0.500

**Density of states at the Fermi level**: 0.91 states/eV/atom

2 | Here is crystalline TaBeBr2 at its relaxed geometry from the Alexandria database. Energies are from GGA-PBE.

Cell lengths 8.335, 8.335, 3.669 Å; angles 102.48, 102.48, 23.36 degrees
Fractional positions:
Ta  0.000  0.000  0.000
Be  0.500  0.500  0.500
Br  0.369  0.369  0.871
Br  0.631  0.631  0.129

**Density of states at the Fermi level**: 0.38 states/eV/atom

3 | Here is crystalline TaBeBr2 at its relaxed geometry from the Alexandria database. Energies are from GGA-PBE.

Cell lengths 3.267, 3.280, 8.597 Å; angles 90.00, 97.67, 90.00 degrees
Fractional positions:
Ta  0.000  0.000  0.000
Be  0.512  0.500  0.142
Br  0.253  0.000  0.312
Br  0.897  0.500  0.763

**Density of states at the Fermi level**: 0.14 states/eV/atom

4 | Here is crystalline TaBeBr2 at its relaxed geometry from the Alexandria database. Energies are from GGA-PBE.

Cell lengths 4.838, 4.838, 4.838 Å; angles 60.00, 60.00, 60.00 degrees
Fractional positions:
Ta  0.000  0.000  0.000
Be  0.250  0.250  0.250
Br  0.500  0.500  0.500
Br  0.750  0.750  0.750

**Density of states at the Fermi level**: 1.02 states/eV/atom

It is 3 that is most stable; the runner-up trails by 104 meV/atom.

1 | Here is crystalline TaBeBr at its relaxed geometry from the Alexandria database. Energies are from GGA-PBE.

Cell lengths 4.436, 4.436, 2.965 Å; angles 90.00, 90.00, 120.00 degrees
Fractional positions:
Ta  0.000  0.000  0.000
Be  0.667  0.333  0.500
Br  0.333  0.667  0.000

**Density of states at the Fermi level**: 0.36 states/eV/atom

2 | Here is crystalline TaBeBr at its relaxed geometry from the Alexandria database. Energies are from GGA-PBE.

Cell lengths 4.209, 4.209, 4.209 Å; angles 60.00, 60.00, 60.00 degrees
Fractional positions:
Ta  0.000  0.000  0.000
Be  0.500  0.500  0.500
Br  0.750  0.750  0.750

**Density of states at the Fermi level**: 0.55 states/eV/atom

3 | Here is crystalline TaBeBr at its relaxed geometry from the Alexandria database. Energies are from GGA-PBE.

Cell lengths 4.323, 4.323, 4.323 Å; angles 60.00, 60.00, 60.00 degrees
Fractional positions:
Ta  0.000  0.000  0.000
Be  0.750  0.750  0.750
Br  0.250  0.250  0.250

**Density of states at the Fermi level**: 1.19 states/eV/atom

It is 1 that is most stable; the runner-up trails by 494 meV/atom.

1 | Here is crystalline TaBeBr at its relaxed geometry from the Alexandria database. Energies are from GGA-PBE.

Cell lengths 3.152, 3.152, 6.668 Å; angles 90.00, 90.00, 120.00 degrees
Fractional positions:
Ta  0.000  0.000  0.000
Be  0.333  0.667  0.269
Br  0.667  0.333  0.711

**Density of states at the Fermi level**: 0.27 states/eV/atom

2 | Here is crystalline TaBeBr at its relaxed geometry from the Alexandria database. Energies are from GGA-PBE.

Cell lengths 7.421, 7.421, 7.421 Å; angles 156.65, 156.65, 33.26 degrees
Fractional positions:
Ta  0.000  0.000  0.000
Be  0.604  0.604  0.000
Br  0.367  0.367  0.000

It is 1 that is most stable; the runner-up trails by 62 meV/atom.